Entry from Alexandria: an optimized crystal structure of CaInRu2 (GGA-PBE).

a b c (Å): 3.455 3.455 6.514
angles (deg): 90.00 90.00 90.00
Fractional positions:
Ca1 0.000 0.000 0.000
In1 0.000 0.000 0.500
Ru1 0.500 0.500 0.298
Ru2 0.500 0.500 0.702

***

Entry from Alexandria: an optimized crystal structure of CaIn3Ru (GGA-PBE).

a b c (Å): 5.153 5.153 5.153
angles (deg): 90.00 90.00 90.00
Fractional positions:
Ca1 0.000 0.000 0.000
In1 0.000 0.500 0.500
In2 0.500 0.000 0.500
In3 0.500 0.500 0.000
Ru1 0.500 0.500 0.500

***

Entry from Alexandria: an optimized crystal structure of CaInRu2 (GGA-PBE).

a b c (Å): 4.596 4.596 3.427
angles (deg): 90.00 90.00 90.00
Fractional positions:
Ca1 0.000 0.000 0.000
In1 0.500 0.500 0.000
Ru1 0.000 0.500 0.500
Ru2 0.500 0.000 0.500

***

Here are the calculated energy of formation from the pure elements numbers, same order: 269, -88, 281 (meV/atom).